Pt2W | SCAN | single point on PBEsol structure

Cell and atoms, written as POSCAR:
```
Pt2W
1.0
5.1247 -1.3775 0.0000
5.1247 1.3775 0.0000
-1.7296 0.0000 6.3966
Pt W
4 2
direct
0.1361 0.1361 0.0316
0.1854 0.1854 0.6292
0.8146 0.8146 0.3708
0.8639 0.8639 0.9684
0.4739 0.4739 0.6975
0.5261 0.5261 0.3025
```

Fermi-level density of states in states/eV per cell: 4.25
Calculated formation energy in eV/atom: -0.29
SG: C2/m
Uncorrected energy in eV per atom: -70.32